a.
# PBE MnCoH2, optimized geometry
data_MnCoH2
_cell_length_a 4.295
_cell_length_b 5.206
_cell_length_c 5.392
_cell_angle_alpha 90.00
_cell_angle_beta 90.00
_cell_angle_gamma 90.00
_symmetry_space_group_name_H-M 'P 1'
_symmetry_Int_Tables_number 1
loop_
_symmetry_equiv_pos_as_xyz
'x,y,z'
loop_
_atom_site_label
_atom_site_type_symbol
_atom_site_fract_x
_atom_site_fract_y
_atom_site_fract_z
_atom_site_occupancy
Mn1 Mn 0.998 0.639 0.372 1
Mn2 Mn 0.498 0.361 0.628 1
Mn3 Mn 0.498 0.861 0.872 1
Mn4 Mn 0.998 0.139 0.128 1
Co1 Co 0.983 0.565 0.844 1
Co2 Co 0.483 0.935 0.344 1
Co3 Co 0.983 0.065 0.656 1
Co4 Co 0.483 0.435 0.156 1
H1 H 0.435 0.122 0.100 1
H2 H 0.435 0.622 0.400 1
H3 H 0.935 0.878 0.900 1
H4 H 0.935 0.378 0.600 1
H5 H 0.857 0.459 0.113 1
H6 H 0.357 0.541 0.887 1
H7 H 0.357 0.041 0.613 1
H8 H 0.857 0.959 0.387 1
# **Fermi-level density of states**: 1.2 states/eV/f.u.
# **ρ**: 6384 kg/m3

=====

b.
# PBE MnCoH2, optimized geometry
data_MnCoH2
_cell_length_a 2.723
_cell_length_b 2.723
_cell_length_c 4.949
_cell_angle_alpha 74.03
_cell_angle_beta 74.03
_cell_angle_gamma 60.00
_symmetry_space_group_name_H-M 'P 1'
_symmetry_Int_Tables_number 1
loop_
_symmetry_equiv_pos_as_xyz
'x,y,z'
loop_
_atom_site_label
_atom_site_type_symbol
_atom_site_fract_x
_atom_site_fract_y
_atom_site_fract_z
_atom_site_occupancy
H1 H 0.122 0.122 0.633 1
H2 H 0.878 0.878 0.367 1
Mn1 Mn 0.000 0.000 0.000 1
Co1 Co 0.500 0.500 0.500 1
# **Fermi-level density of states**: 2.9 states/eV/f.u.
# **ρ**: 6386 kg/m3

=====

Most stable structure among those shown: a.